The following is a DFT calculation (PBE) of a relaxed MoAsSe crystal.

Output
Space group: F-43m
ΔE_f (raw) (kJ per mole of atoms): 68
Polymorph energy (0 for the lowest one) (meV/atom): 949

```
MoAsSe
1.0
0.0000 3.0888 3.0888
3.0888 0.0000 3.0888
3.0888 3.0888 0.0000
Mo As Se
1 1 1
direct
0.0000 0.0000 0.0000
0.7500 0.7500 0.7500
0.5000 0.5000 0.5000
```